# 1
ZnTc2As: optimized geometry, GGA-PBEsol.

abc: 2.877 2.877 8.153
angles: 79.84 79.84 60.00
Positions (direct):
Zn (0.500, 0.500, 0.500)
Tc (0.255, 0.255, 0.236)
Tc (0.745, 0.745, 0.764)
As (0.000, 0.000, 0.000)

Calculated values
For the mass density, the calculation gives 9.76 Mg/m³. The calculation puts the formation energy at 125 meV per atom. The total energy comes out at -28.7 eV for the cell shown. For the total magnetic moment, the calculation gives 0.003 Bohr magnetons per cell.

***

# 2
ZnTcAs2: optimized geometry, GGA-PBEsol.

abc: 3.777 3.777 5.037
angles: 112.02 112.02 90.00
Positions (direct):
As (0.000, 0.000, 0.000)
Tc (0.500, 0.500, 0.000)
As (0.750, 0.250, 0.500)
Zn (0.250, 0.750, 0.500)

Calculated values
For the mass density, the calculation gives 8.54 Mg/m³. The calculation puts the formation energy at 316 meV per atom. The total energy comes out at -21.8 eV for the cell shown. For the total magnetic moment, the calculation gives 0.007 Bohr magnetons per cell.